Record 1
Material: YTlTc2
Method: DFT, PBE-GGA
State: optimized geometry

Computed properties:
The symmetry is No. 160. The value obtained for the density of states at the Fermi level is 8.11 states/eV per cell. For the spin magnetization, the calculation gives 0.000 μB/atom. Its calculated density is 9.88 Mg/m³.

Cell: 3.2070 3.2070 27.6944 Å, 90.00 90.00 120.00°
Fractional positions:
Y 0.0000 0.0000 0.0000
Y 0.3333 0.6667 0.6667
Y 0.6667 0.3333 0.3333
Tl 0.0000 0.0000 0.7675
Tl 0.3333 0.6667 0.4342
Tl 0.6667 0.3333 0.1008
Tc 0.0000 0.0000 0.2501
Tc 0.0000 0.0000 0.5208
Tc 0.3333 0.6667 0.1874
Tc 0.3333 0.6667 0.9168
Tc 0.6667 0.3333 0.5834
Tc 0.6667 0.3333 0.8541

---

Record 2
Material: TlZn4Tc
Method: DFT, PBE-GGA
State: optimized geometry

Computed properties:
The symmetry is No. 216. The value obtained for the density of states at the Fermi level is 4.37 states/eV per cell. For the spin magnetization, the calculation gives 0.000 μB/atom. Its calculated density is 9.78 Mg/m³.

Cell: 5.1356 5.1356 5.1356 Å, 60.00 60.00 60.00°
Fractional positions:
Tl 0.0000 0.0000 0.0000
Zn 0.1297 0.6234 0.6234
Zn 0.6234 0.1297 0.6234
Zn 0.6234 0.6234 0.1297
Zn 0.6234 0.6234 0.6234
Tc 0.2500 0.2500 0.2500

---

Record 3
Material: TlZnTc2
Method: DFT, PBE-GGA
State: optimized geometry

Computed properties:
The symmetry is No. 71. The value obtained for the density of states at the Fermi level is 9.25 states/eV per cell. For the spin magnetization, the calculation gives 0.000 μB/atom. Its calculated density is 11.76 Mg/m³.

Cell: 3.1349 4.5956 9.1343 Å, 90.00 90.00 90.00°
Fractional positions:
Tl 0.0000 0.0000 0.0000
Tl 0.5000 0.5000 0.5000
Zn 0.0000 0.0000 0.5000
Zn 0.5000 0.5000 0.0000
Tc 0.0000 0.5000 0.2386
Tc 0.0000 0.5000 0.7614
Tc 0.5000 0.0000 0.2614
Tc 0.5000 0.0000 0.7386

---

| no. | ΔH_f (0 K) (meV per atom) |
| --- | --- |
| 1 | 396.2 |
| 2 | 327.9 |
| 3 | 574.6 |